1.
! TbAlGa2Ni4 GGA-PBE optimized geometry; values from VASP
! Space group = R-3m, No. 166
&SYSTEM
  ibrav = 0, nat = 8, ntyp = 4
/
ATOMIC_SPECIES
Ni 58.69 Ni.upf
Ga 69.72 Ga.upf
Al 26.98 Al.upf
Tb 158.93 Tb.upf
CELL_PARAMETERS angstrom
-2.878 -2.201 -1.862
0.578 -3.981 -0.644
-4.157 -3.717 6.363
ATOMIC_POSITIONS angstrom
Ni -2.800 -3.054 3.481
Ni -4.204 -5.425 3.998
Ni -3.658 -6.845 0.376
Ni -2.254 -4.473 -0.141
Ga -4.761 -7.384 2.717
Ga -1.697 -2.515 1.140
Al -3.229 -4.949 1.928
Tb 0.000 0.000 0.000


2.
! Tb2Al2GaNi5 GGA-PBE optimized geometry; values from VASP
! Space group = P4/mbm, No. 127
&SYSTEM
  ibrav = 0, nat = 20, ntyp = 4
/
ATOMIC_SPECIES
Al 26.98 Al.upf
Ni 58.69 Ni.upf
Tb 158.93 Tb.upf
Ga 69.72 Ga.upf
CELL_PARAMETERS angstrom
2.969 0.000 0.000
0.000 10.166 0.000
0.000 0.000 10.166
ATOMIC_POSITIONS angstrom
Al 0.000 6.392 8.857
Al 0.000 8.857 3.774
Al 0.000 3.774 1.309
Al 0.000 1.309 6.392
Ni 1.484 3.136 5.625
Ni 1.484 0.542 8.219
Ni 1.484 1.948 0.542
Ni 1.484 5.625 7.031
Ni 1.484 5.083 0.000
Ni 1.484 8.219 9.624
Ni 1.484 4.541 3.136
Ni 1.484 9.624 1.948
Ni 1.484 0.000 5.083
Ni 1.484 7.031 4.541
Tb 0.000 6.842 1.758
Tb 0.000 8.408 6.842
Tb 0.000 1.758 3.325
Tb 0.000 3.325 8.408
Ga 0.000 0.000 0.000
Ga 0.000 5.083 5.083


Number 1: formation energy from the elements -0.5056 eV per atom. Number 2: formation energy from the elements -0.3649 eV per atom.